V3ZnO8: optimized geometry, PBE+U.

abc: 8.6092 9.8139 9.8139
angles: 61.15 63.98 63.98
Sites, in units of the cell vectors:
V: 0.7769 0.2599 0.1432
V: 0.1799 0.7401 0.8568
V: 0.2769 0.1432 0.2599
V: 0.6799 0.8568 0.7401
V: 0.9412 0.5094 0.1873
V: 0.6378 0.4906 0.8127
V: 0.4412 0.1873 0.5094
V: 0.1378 0.8127 0.4906
V: 0.4626 0.1889 0.8544
V: 0.5060 0.8111 0.1456
V: 0.9626 0.8544 0.1889
V: 0.0060 0.1456 0.8111
Zn: 0.3285 0.5169 0.1740
Zn: 0.0195 0.4831 0.8260
Zn: 0.8285 0.1740 0.5169
Zn: 0.5195 0.8260 0.4831
O: 0.0559 0.6427 0.1928
O: 0.8914 0.3573 0.8072
O: 0.5559 0.1928 0.6427
O: 0.3914 0.8072 0.3573
O: 0.2006 0.3515 0.1815
O: 0.7335 0.6485 0.8185
O: 0.7006 0.1815 0.3515
O: 0.2335 0.8185 0.6485
O: 0.8478 0.3989 0.3782
O: 0.6249 0.6011 0.6218
O: 0.3478 0.3782 0.3989
O: 0.1249 0.6218 0.6011
O: 0.2486 0.2965 0.8615
O: 0.4066 0.7035 0.1385
O: 0.7486 0.8615 0.2965
O: 0.9066 0.1385 0.7035
O: 0.2203 0.1513 0.6953
O: 0.0668 0.8487 0.3047
O: 0.7203 0.6953 0.1513
O: 0.5668 0.3047 0.8487
O: 0.5432 0.9275 0.6190
O: 0.0898 0.0725 0.3810
O: 0.0432 0.6190 0.9275
O: 0.5898 0.3810 0.0725
O: 0.5681 0.9384 0.9029
O: 0.4094 0.0616 0.0971
O: 0.0681 0.9029 0.9384
O: 0.9094 0.0971 0.0616
O: 0.8781 0.9097 0.6166
O: 0.4044 0.0903 0.3834
O: 0.3781 0.6166 0.9097
O: 0.9044 0.3834 0.0903

Computed properties:
Crystal system   orthorhombic
Relative energy among the computed polymorphs   0.000 eV/atom
Volume   156 Å³/f.u.
E   -7.078 eV per atom